1.
The following is a DFT calculation (GGA-PBE) of an optimized crystal structure of Cs2KRb4Au2.

Summary:
E_form: -0.1226 eV/atom
crystal system: triclinic

a b c (Å): 6.940 9.459 10.161
angles (deg): 79.79 72.33 79.90
Space group P-1 (No. 2)
Inequivalent atoms, fractional coordinates:
Cs: 0.138 0.380 0.195 x2
K: 0.000 0.000 0.500 x1
Rb: 0.235 0.846 0.096 x2
Rb: 0.404 0.290 0.575 x2
Au: 0.104 0.628 0.440 x2

2.
The following is a DFT calculation (GGA-PBE) of an optimized crystal structure of Np2GaRe.

Summary:
distance to the lowest polymorph of the same formula: 0 meV/atom
E_form: 0.1523 eV/atom
crystal system: tetragonal

a b c (Å): 3.105 3.105 8.339
angles (deg): 90.00 90.00 90.00
Space group P4/mmm (No. 123)
Inequivalent atoms, fractional coordinates:
Np: 0.000 0.000 0.227 x2
Ga: 0.500 0.500 0.500 x1
Re: 0.500 0.500 0.000 x1

3.
The following is a DFT calculation (GGA-PBE) of an optimized crystal structure of La2SiAu.

Summary:
formation energy (no corrections): -739.2 meV/atom
crystal system: orthorhombic

a b c (Å): 4.443 4.344 11.289
angles (deg): 90.00 90.00 90.00
Space group Amm2 (No. 38)
Inequivalent atoms, fractional coordinates:
La: 0.000 0.000 0.000 x2
La: 0.500 0.000 0.278 x2
Si: 0.500 0.000 0.561 x2
Au: 0.000 0.000 0.712 x2

4.
The following is a DFT calculation (GGA-PBE) of an optimized crystal structure of Sr2RhAu.

Summary:
E_form: -0.3882 eV/atom
crystal system: trigonal

a b c (Å): 4.5373 4.5373 23.1473
angles (deg): 90.00 90.00 120.00
Space group R3m (No. 160, hexagonal axes)
Inequivalent atoms, fractional coordinates:
Sr: 0.0000 0.0000 0.0000 x3
Sr: 0.0000 0.0000 0.1688 x3
Rh: 0.0000 0.0000 0.4174 x3
Au: 0.0000 0.0000 0.7512 x3